# 1
Below is a relaxed HoLuBe crystal, with properties calculated at the PBE level.

Properties
Excess energy over the best structure of this formula in the dataset: 0.000 eV/atom

abc: 4.724 4.724 4.724
angles: 60.00 60.00 60.00
Fractional coordinates of all 3 atoms:
Ho (0.000, 0.000, 0.000)
Lu (0.750, 0.750, 0.750)
Be (0.500, 0.500, 0.500)

---

# 2
Below is a relaxed Na2PdPtPb4 crystal, with properties calculated at the PBE level.

Properties
Final energy: -3.861 eV per atom

abc: 4.460 8.223 6.003
angles: 90.00 111.64 90.00
Fractional coordinates of all 8 atoms:
Na (0.000, 0.000, 0.000)
Na (0.134, 0.500, 0.265)
Pd (0.282, 0.000, 0.560)
Pt (0.853, 0.500, 0.708)
Pb (0.421, 0.297, 0.844)
Pb (0.421, 0.703, 0.844)
Pb (0.711, 0.204, 0.418)
Pb (0.711, 0.796, 0.418)

---

# 3
Below is a relaxed NaTa3N5 crystal, with properties calculated at the PBE level.

Properties
Final energy: -8.590 eV per atom

abc: 5.418 5.418 5.481
angles: 90.00 90.00 120.00
Fractional coordinates of all 9 atoms:
Na (0.000, 0.000, 0.000)
Ta (0.000, 0.500, 0.500)
Ta (0.500, 0.000, 0.500)
Ta (0.500, 0.500, 0.500)
N (0.000, 0.000, 0.500)
N (0.333, 0.667, 0.254)
N (0.333, 0.667, 0.746)
N (0.667, 0.333, 0.254)
N (0.667, 0.333, 0.746)

---

| no. | magnetization (μB/f.u.) |
| --- | --- |
| 1 | 0.0 |
| 2 | 0.0 |
| 3 | 0.0 |